1.
The following is a PBE calculation of an optimized crystal structure of UAlIn, from Alexandria.

The structure in POSCAR format:
```
UAlIn
1.0
3.4133 0.0000 0.0000
0.0000 2.7997 7.1199
0.0000 -2.7997 7.1199
U Al In
2 2 2
direct
0.0000 0.0000 0.0000
0.5000 0.1322 0.1322
0.0000 0.0484 0.5554
0.0000 0.5554 0.0484
0.0000 0.6267 0.6267
0.5000 0.4435 0.4435
```

Values from the calculation:
raw total energy	-0.2123	hartree per atom
space-group type	Amm2, No. 38

2.
The following is a PBE calculation of an optimized crystal structure of ThTePbO6, from Alexandria.

The structure in POSCAR format:
```
ThTePbO6
1.0
5.8511 0.0000 0.0000
-2.9255 5.0672 0.0000
0.0000 0.0000 10.1514
Th Te Pb O
2 2 2 12
direct
0.3333 0.6667 0.2500
0.6667 0.3333 0.7500
0.3333 0.6667 0.7500
0.6667 0.3333 0.2500
0.0000 0.0000 0.0000
0.0000 0.0000 0.5000
0.0472 0.3946 0.6426
0.0472 0.6526 0.8574
0.3474 0.3946 0.8574
0.3474 0.9528 0.6426
0.3946 0.0472 0.1426
0.3946 0.3474 0.3574
0.6054 0.6526 0.6426
0.6054 0.9528 0.8574
0.6526 0.0472 0.3574
0.6526 0.6054 0.1426
0.9528 0.3474 0.1426
0.9528 0.6054 0.3574
```

Values from the calculation:
raw total energy	-0.2500	hartree per atom
space-group type	P-31c, No. 163

3.
The following is a PBE calculation of an optimized crystal structure of HfTiSb2, from Alexandria.

The structure in POSCAR format:
```
HfTiSb2
1.0
2.0182 1.1652 6.6023
-2.0182 1.1652 6.6023
0.0000 -2.3304 6.6023
Hf Ti Sb
1 1 2
direct
0.0000 0.0000 0.0000
0.5000 0.5000 0.5000
0.2461 0.2461 0.2461
0.7539 0.7539 0.7539
```

Values from the calculation:
raw total energy	-0.2512	hartree per atom
space-group type	R-3m, No. 166
offset from the most stable computed form	0.00	eV per formula unit

4.
The following is a PBE calculation of an optimized crystal structure of TbAl2Au, from Alexandria.

The structure in POSCAR format:
```
TbAl2Au
1.0
2.1607 1.2475 5.1818
-2.1607 1.2475 5.1818
0.0000 -2.4949 5.1818
Tb Al Au
1 2 1
direct
0.0000 0.0000 0.0000
0.2144 0.2144 0.2144
0.7856 0.7856 0.7856
0.5000 0.5000 0.5000
```

Values from the calculation:
raw total energy	-0.1612	hartree per atom
space-group type	R-3m, No. 166